VASP calculation (PBE) on an optimized crystal structure of SmEr2Co9.

Unit cell a=4.9772 b=4.9772 c=24.1530 alpha=90.00 beta=90.00 gamma=120.00
Space group R-3m (No. 166, hexagonal axes)
Asymmetric unit:
Sm1 0.0000 0.0000 0.0000 x3
Er1 0.0000 0.0000 0.1402 x6
Co1 0.0000 0.0000 0.3351 x6
Co2 0.0000 0.0000 0.5000 x3
Co3 0.0040 0.5020 0.9176 x18

Values from the calculation:
Magnetic moment   10.65 μB per formula unit
Formation energy   -2.10 eV per formula unit
Crystal system   trigonal

---

VASP calculation (PBE) on an optimized crystal structure of LiSmTc.

Unit cell a=6.236 b=6.236 c=6.236 alpha=90.00 beta=90.00 gamma=90.00
Space group F-43m (No. 216)
Asymmetric unit:
Li1 0.000 0.000 0.000 x4
Sm1 0.250 0.250 0.750 x4
Tc1 0.250 0.250 0.250 x4

Values from the calculation:
Magnetic moment   1.05 μB per formula unit
Energy relative to the lowest polymorph listed for this composition   0.0 kJ/mol of atoms
Crystal system   cubic